# 1
Density functional theory data (PBE) for a geometry-optimized Tm6Bi2H structure.

POSCAR file:
```
Tm6Bi2H
1.0
6.576 0.000 0.273
0.000 7.265 0.000
-0.457 0.000 9.931
Tm Bi H
12 4 2
Direct
0.846 0.985 0.253
0.889 0.704 0.536
0.892 0.711 0.964
0.608 0.211 0.536
0.611 0.204 0.964
0.654 0.485 0.247
0.154 0.015 0.747
0.111 0.296 0.464
0.108 0.289 0.036
0.392 0.789 0.464
0.389 0.796 0.036
0.346 0.515 0.753
0.888 0.384 0.752
0.612 0.884 0.748
0.388 0.116 0.252
0.112 0.616 0.248
0.500 0.500 0.000
0.000 0.000 0.500
```

## Properties
Volume, Å³ per atom: 26.4
Final energy, eV per cell: -82.8
DOS(E_F), states/eV/atom: 0.8446

# 2
Density functional theory data (PBE) for a geometry-optimized Tm4Bi3H4 structure.

POSCAR file:
```
Tm4Bi3H4
1.0
3.617 0.000 0.000
0.000 8.409 0.000
-1.809 -4.204 7.534
Tm Bi H
4 3 4
Direct
0.195 0.695 0.390
0.805 0.305 0.610
0.500 0.781 0.000
0.500 0.219 0.000
0.129 0.129 0.258
0.871 0.871 0.742
0.000 0.500 0.000
0.347 0.202 0.694
0.653 0.508 0.306
0.653 0.798 0.306
0.347 0.492 0.694
```

## Properties
Volume, Å³ per atom: 20.8
Final energy, eV per cell: -47.8
DOS(E_F), states/eV/atom: 0.1701

Q: Which value of volume does entry 1 give?
A: 26.4 Å³ per atom

Q: Which value of final energy does entry 2 give?
A: -47.8 eV per cell